# CsSrW3 PBE optimized geometry
# formation enthalpy at 0 K: 17.1 eV/f.u.
# crystal system: cubic
# density of states at the Fermi level: 8.78 states/eV/f.u.
# total DFT energy (no corrections): -4.852 eV per atom
data_CsSrW3
_cell_length_a 5.075
_cell_length_b 5.075
_cell_length_c 5.075
_cell_angle_alpha 90.00
_cell_angle_beta 90.00
_cell_angle_gamma 90.00
_space_group_name_H-M_alt 'P m -3 m'
_space_group_IT_number 221
_space_group_name_Hall '-P 4 2 3'
loop_
_atom_site_label
_atom_site_fract_x
_atom_site_fract_y
_atom_site_fract_z
Cs1 0.000 0.000 0.000
Sr1 0.500 0.500 0.500
W1 0.000 0.000 0.500